1.
## Hf2HgBi2 (PBEsol)

Data for a relaxed Hf2HgBi2 crystal.

ΔE_f: -0.140 eV/atom
spin magnetization: 0.00 μB per cell
uncorrected energy: -6.169 eV/atom
symmetry: No. 127

```
data_Hf2HgBi2
_chemical_formula_sum 'Hf4 Hg2 Bi4'
_cell_length_a 3.9247
_cell_length_b 7.8205
_cell_length_c 7.8205
_cell_angle_alpha 90.00
_cell_angle_beta 90.00
_cell_angle_gamma 90.00
_symmetry_space_group_name_H-M 'P 1'
_symmetry_Int_Tables_number 1
loop_
_symmetry_equiv_pos_as_xyz
'x,y,z'
loop_
_atom_site_label
_atom_site_type_symbol
_atom_site_fract_x
_atom_site_fract_y
_atom_site_fract_z
Hf1 Hf 0.0000 0.3600 0.8600
Hf2 Hf 0.0000 0.8600 0.6400
Hf3 Hf 0.0000 0.6400 0.1400
Hf4 Hf 0.0000 0.1400 0.3600
Bi1 Bi 0.5000 0.1578 0.6578
Bi2 Bi 0.5000 0.6578 0.8422
Bi3 Bi 0.5000 0.8422 0.3422
Bi4 Bi 0.5000 0.3422 0.1578
Hg1 Hg 0.0000 0.0000 0.0000
Hg2 Hg 0.0000 0.5000 0.5000
```


2.
## HfTlHgBi2 (PBEsol)

Data for a relaxed HfTlHgBi2 crystal.

ΔE_f: 0.982 eV/atom
spin magnetization: 0.00 μB per cell
uncorrected energy: -3.472 eV/atom
symmetry: No. 123

```
data_HfTlHgBi2
_chemical_formula_sum 'Hf1 Tl1 Hg1 Bi2'
_cell_length_a 5.2769
_cell_length_b 5.5863
_cell_length_c 5.5863
_cell_angle_alpha 90.00
_cell_angle_beta 90.00
_cell_angle_gamma 90.00
_symmetry_space_group_name_H-M 'P 1'
_symmetry_Int_Tables_number 1
loop_
_symmetry_equiv_pos_as_xyz
'x,y,z'
loop_
_atom_site_label
_atom_site_type_symbol
_atom_site_fract_x
_atom_site_fract_y
_atom_site_fract_z
Tl1 Tl 0.5000 0.0000 0.0000
Hf1 Hf 0.5000 0.5000 0.5000
Bi1 Bi 0.0000 0.0000 0.5000
Bi2 Bi 0.0000 0.5000 0.0000
Hg1 Hg 0.0000 0.0000 0.0000
```


3.
## LaHfBiI2 (PBEsol)

Data for a relaxed LaHfBiI2 crystal.

formation energy (no corrections): 0.465 eV/atom
spin magnetization: 1.10 μB per cell
uncorrected energy: -4.269 eV/atom
symmetry: No. 123

```
data_LaHfBiI2
_chemical_formula_sum 'La1 Hf1 Bi1 I2'
_cell_length_a 5.9092
_cell_length_b 5.9092
_cell_length_c 6.4134
_cell_angle_alpha 90.00
_cell_angle_beta 90.00
_cell_angle_gamma 90.00
_symmetry_space_group_name_H-M 'P 1'
_symmetry_Int_Tables_number 1
loop_
_symmetry_equiv_pos_as_xyz
'x,y,z'
loop_
_atom_site_label
_atom_site_type_symbol
_atom_site_fract_x
_atom_site_fract_y
_atom_site_fract_z
I1 I 0.0000 0.5000 0.0000
I2 I 0.5000 0.0000 0.0000
Hf1 Hf 0.5000 0.5000 0.5000
Bi1 Bi 0.0000 0.0000 0.5000
La1 La 0.0000 0.0000 0.0000
```


4.
## HfZnBiI2 (PBEsol)

Data for a relaxed HfZnBiI2 crystal.

formation energy (no corrections): 0.115 eV/atom
spin magnetization: 0.00 μB per cell
uncorrected energy: -3.866 eV/atom
symmetry: No. 123

```
data_HfZnBiI2
_chemical_formula_sum 'Hf1 Zn1 Bi1 I2'
_cell_length_a 5.5426
_cell_length_b 5.5426
_cell_length_c 5.7264
_cell_angle_alpha 90.00
_cell_angle_beta 90.00
_cell_angle_gamma 90.00
_symmetry_space_group_name_H-M 'P 1'
_symmetry_Int_Tables_number 1
loop_
_symmetry_equiv_pos_as_xyz
'x,y,z'
loop_
_atom_site_label
_atom_site_type_symbol
_atom_site_fract_x
_atom_site_fract_y
_atom_site_fract_z
I1 I 0.0000 0.5000 0.0000
I2 I 0.5000 0.0000 0.0000
Zn1 Zn 0.5000 0.5000 0.5000
Hf1 Hf 0.0000 0.0000 0.0000
Bi1 Bi 0.0000 0.0000 0.5000
```


5.
## HfInBi2 (PBEsol)

Data for a relaxed HfInBi2 crystal.

ΔE_f: 0.394 eV/atom
spin magnetization: 0.00 μB per cell
uncorrected energy: -5.120 eV/atom
symmetry: No. 122

```
data_HfInBi2
_chemical_formula_sum 'Hf2 In2 Bi4'
_cell_length_a 6.7563
_cell_length_b 6.7563
_cell_length_c 8.2159
_cell_angle_alpha 114.28
_cell_angle_beta 114.28
_cell_angle_gamma 90.00
_symmetry_space_group_name_H-M 'P 1'
_symmetry_Int_Tables_number 1
loop_
_symmetry_equiv_pos_as_xyz
'x,y,z'
loop_
_atom_site_label
_atom_site_type_symbol
_atom_site_fract_x
_atom_site_fract_y
_atom_site_fract_z
Hf1 Hf 0.2500 0.7500 0.5000
Hf2 Hf 0.0000 0.0000 0.0000
Bi1 Bi 0.3543 0.8750 0.2500
Bi2 Bi 0.8957 0.3750 0.2500
Bi3 Bi 0.1250 0.1043 0.7500
Bi4 Bi 0.6250 0.6457 0.7500
In1 In 0.7500 0.2500 0.5000
In2 In 0.5000 0.5000 0.0000
```


6.
## HfInBi3 (PBEsol)

Data for a relaxed HfInBi3 crystal.

ΔE_f: 1.106 eV/atom
spin magnetization: 0.00 μB per cell
uncorrected energy: -4.162 eV/atom
symmetry: No. 221

```
data_HfInBi3
_chemical_formula_sum 'Hf1 In1 Bi3'
_cell_length_a 5.5215
_cell_length_b 5.5215
_cell_length_c 5.5215
_cell_angle_alpha 90.00
_cell_angle_beta 90.00
_cell_angle_gamma 90.00
_symmetry_space_group_name_H-M 'P 1'
_symmetry_Int_Tables_number 1
loop_
_symmetry_equiv_pos_as_xyz
'x,y,z'
loop_
_atom_site_label
_atom_site_type_symbol
_atom_site_fract_x
_atom_site_fract_y
_atom_site_fract_z
Hf1 Hf 0.5000 0.5000 0.5000
Bi1 Bi 0.0000 0.5000 0.0000
Bi2 Bi 0.0000 0.0000 0.5000
Bi3 Bi 0.5000 0.0000 0.0000
In1 In 0.0000 0.0000 0.0000
```


7.
## Hf2InBi (PBEsol)

Data for a relaxed Hf2InBi crystal.

ΔE_f: 0.051 eV/atom
spin magnetization: 0.00 μB per cell
uncorrected energy: -7.018 eV/atom
symmetry: No. 225

```
data_Hf2InBi
_chemical_formula_sum 'Hf2 In1 Bi1'
_cell_length_a 5.0064
_cell_length_b 5.0064
_cell_length_c 5.0064
_cell_angle_alpha 60.00
_cell_angle_beta 60.00
_cell_angle_gamma 60.00
_symmetry_space_group_name_H-M 'P 1'
_symmetry_Int_Tables_number 1
loop_
_symmetry_equiv_pos_as_xyz
'x,y,z'
loop_
_atom_site_label
_atom_site_type_symbol
_atom_site_fract_x
_atom_site_fract_y
_atom_site_fract_z
Hf1 Hf 0.2500 0.2500 0.2500
Hf2 Hf 0.7500 0.7500 0.7500
Bi1 Bi 0.5000 0.5000 0.5000
In1 In 0.0000 0.0000 0.0000
```


8.
## HfMgIn2Bi (PBEsol)

Data for a relaxed HfMgIn2Bi crystal.

ΔE_f: 0.807 eV/atom
spin magnetization: 0.00 μB per cell
uncorrected energy: -3.688 eV/atom
symmetry: No. 123

```
data_HfMgIn2Bi
_chemical_formula_sum 'Hf1 Mg1 In2 Bi1'
_cell_length_a 5.5039
_cell_length_b 5.4411
_cell_length_c 5.4411
_cell_angle_alpha 90.00
_cell_angle_beta 90.00
_cell_angle_gamma 90.00
_symmetry_space_group_name_H-M 'P 1'
_symmetry_Int_Tables_number 1
loop_
_symmetry_equiv_pos_as_xyz
'x,y,z'
loop_
_atom_site_label
_atom_site_type_symbol
_atom_site_fract_x
_atom_site_fract_y
_atom_site_fract_z
Mg1 Mg 0.5000 0.0000 0.0000
Hf1 Hf 0.0000 0.0000 0.0000
Bi1 Bi 0.5000 0.5000 0.5000
In1 In 0.0000 0.0000 0.5000
In2 In 0.0000 0.5000 0.0000
```


9.
## Na2HfBiIr (PBEsol)

Data for a relaxed Na2HfBiIr crystal.

ΔE_f: 0.492 eV/atom
spin magnetization: 0.00 μB per cell
uncorrected energy: -4.990 eV/atom
symmetry: No. 123

```
data_Na2HfBiIr
_chemical_formula_sum 'Na2 Hf1 Bi1 Ir1'
_cell_length_a 4.8795
_cell_length_b 5.1910
_cell_length_c 5.1910
_cell_angle_alpha 90.00
_cell_angle_beta 90.00
_cell_angle_gamma 90.00
_symmetry_space_group_name_H-M 'P 1'
_symmetry_Int_Tables_number 1
loop_
_symmetry_equiv_pos_as_xyz
'x,y,z'
loop_
_atom_site_label
_atom_site_type_symbol
_atom_site_fract_x
_atom_site_fract_y
_atom_site_fract_z
Na1 Na 0.0000 0.0000 0.5000
Na2 Na 0.0000 0.5000 0.0000
Ir1 Ir 0.0000 0.0000 0.0000
Hf1 Hf 0.5000 0.0000 0.0000
Bi1 Bi 0.5000 0.5000 0.5000
```


10.
## Hf2BiIrO (PBEsol)

Data for a relaxed Hf2BiIrO crystal.

formation energy (no corrections): 0.792 eV/atom
spin magnetization: 0.00 μB per cell
uncorrected energy: -7.281 eV/atom
symmetry: No. 123

```
data_Hf2BiIrO
_chemical_formula_sum 'Hf2 Bi1 Ir1 O1'
_cell_length_a 4.9790
_cell_length_b 4.9790
_cell_length_c 5.0704
_cell_angle_alpha 90.00
_cell_angle_beta 90.00
_cell_angle_gamma 90.00
_symmetry_space_group_name_H-M 'P 1'
_symmetry_Int_Tables_number 1
loop_
_symmetry_equiv_pos_as_xyz
'x,y,z'
loop_
_atom_site_label
_atom_site_type_symbol
_atom_site_fract_x
_atom_site_fract_y
_atom_site_fract_z
Ir1 Ir 0.0000 0.0000 0.0000
Hf1 Hf 0.0000 0.5000 0.0000
Hf2 Hf 0.5000 0.0000 0.0000
Bi1 Bi 0.0000 0.0000 0.5000
O1 O 0.5000 0.5000 0.5000
```


11.
## HfTcBi2Ir (PBEsol)

Data for a relaxed HfTcBi2Ir crystal.

ΔE_f: 1.119 eV/atom
spin magnetization: 0.00 μB per cell
uncorrected energy: -6.914 eV/atom
symmetry: No. 123

```
data_HfTcBi2Ir
_chemical_formula_sum 'Hf1 Tc1 Bi2 Ir1'
_cell_length_a 4.7097
_cell_length_b 5.1179
_cell_length_c 5.1179
_cell_angle_alpha 90.00
_cell_angle_beta 90.00
_cell_angle_gamma 90.00
_symmetry_space_group_name_H-M 'P 1'
_symmetry_Int_Tables_number 1
loop_
_symmetry_equiv_pos_as_xyz
'x,y,z'
loop_
_atom_site_label
_atom_site_type_symbol
_atom_site_fract_x
_atom_site_fract_y
_atom_site_fract_z
Ir1 Ir 0.5000 0.0000 0.0000
Hf1 Hf 0.5000 0.5000 0.5000
Bi1 Bi 0.0000 0.0000 0.5000
Bi2 Bi 0.0000 0.5000 0.0000
Tc1 Tc 0.0000 0.0000 0.0000
```


12.
## HfBi2TeIr (PBEsol)

Data for a relaxed HfBi2TeIr crystal.

formation energy (no corrections): 0.412 eV/atom
spin magnetization: 0.00 μB per cell
uncorrected energy: -6.073 eV/atom
symmetry: No. 123

```
data_HfBi2TeIr
_chemical_formula_sum 'Hf1 Bi2 Te1 Ir1'
_cell_length_a 5.0684
_cell_length_b 5.2977
_cell_length_c 5.2977
_cell_angle_alpha 90.00
_cell_angle_beta 90.00
_cell_angle_gamma 90.00
_symmetry_space_group_name_H-M 'P 1'
_symmetry_Int_Tables_number 1
loop_
_symmetry_equiv_pos_as_xyz
'x,y,z'
loop_
_atom_site_label
_atom_site_type_symbol
_atom_site_fract_x
_atom_site_fract_y
_atom_site_fract_z
Te1 Te 0.5000 0.5000 0.5000
Ir1 Ir 0.0000 0.0000 0.0000
Hf1 Hf 0.5000 0.0000 0.0000
Bi1 Bi 0.0000 0.0000 0.5000
Bi2 Bi 0.0000 0.5000 0.0000
```


13.
## KHf3Bi (PBEsol)

Data for a relaxed KHf3Bi crystal.

ΔE_f: 1.960 eV/atom
spin magnetization: 0.58 μB per cell
uncorrected energy: -5.426 eV/atom
symmetry: No. 221

```
data_KHf3Bi
_chemical_formula_sum 'K1 Hf3 Bi1'
_cell_length_a 4.9139
_cell_length_b 4.9139
_cell_length_c 4.9139
_cell_angle_alpha 90.00
_cell_angle_beta 90.00
_cell_angle_gamma 90.00
_symmetry_space_group_name_H-M 'P 1'
_symmetry_Int_Tables_number 1
loop_
_symmetry_equiv_pos_as_xyz
'x,y,z'
loop_
_atom_site_label
_atom_site_type_symbol
_atom_site_fract_x
_atom_site_fract_y
_atom_site_fract_z
K1 K 0.0000 0.0000 0.0000
Hf1 Hf 0.0000 0.5000 0.0000
Hf2 Hf 0.0000 0.0000 0.5000
Hf3 Hf 0.5000 0.0000 0.0000
Bi1 Bi 0.5000 0.5000 0.5000
```


14.
## LaHfBi3 (PBEsol)

Data for a relaxed LaHfBi3 crystal.

ΔE_f: 1.145 eV/atom
spin magnetization: 0.65 μB per cell
uncorrected energy: -4.596 eV/atom
symmetry: No. 221

```
data_LaHfBi3
_chemical_formula_sum 'La1 Hf1 Bi3'
_cell_length_a 5.8680
_cell_length_b 5.8680
_cell_length_c 5.8680
_cell_angle_alpha 90.00
_cell_angle_beta 90.00
_cell_angle_gamma 90.00
_symmetry_space_group_name_H-M 'P 1'
_symmetry_Int_Tables_number 1
loop_
_symmetry_equiv_pos_as_xyz
'x,y,z'
loop_
_atom_site_label
_atom_site_type_symbol
_atom_site_fract_x
_atom_site_fract_y
_atom_site_fract_z
Hf1 Hf 0.5000 0.5000 0.5000
Bi1 Bi 0.0000 0.5000 0.0000
Bi2 Bi 0.0000 0.0000 0.5000
Bi3 Bi 0.5000 0.0000 0.0000
La1 La 0.0000 0.0000 0.0000
```


15.
## LaHfBi2 (PBEsol)

Data for a relaxed LaHfBi2 crystal.

ΔE_f: -0.355 eV/atom
spin magnetization: 0.00 μB per cell
uncorrected energy: -6.460 eV/atom
symmetry: No. 225

```
data_LaHfBi2
_chemical_formula_sum 'La1 Hf1 Bi2'
_cell_length_a 5.3400
_cell_length_b 5.3400
_cell_length_c 5.3400
_cell_angle_alpha 60.00
_cell_angle_beta 60.00
_cell_angle_gamma 60.00
_symmetry_space_group_name_H-M 'P 1'
_symmetry_Int_Tables_number 1
loop_
_symmetry_equiv_pos_as_xyz
'x,y,z'
loop_
_atom_site_label
_atom_site_type_symbol
_atom_site_fract_x
_atom_site_fract_y
_atom_site_fract_z
Hf1 Hf 0.5000 0.5000 0.5000
Bi1 Bi 0.2500 0.2500 0.2500
Bi2 Bi 0.7500 0.7500 0.7500
La1 La 0.0000 0.0000 0.0000
```


16.
## HfMg2Bi2 (PBEsol)

Data for a relaxed HfMg2Bi2 crystal.

ΔE_f: 0.148 eV/atom
spin magnetization: 0.00 μB per cell
uncorrected energy: -4.353 eV/atom
symmetry: No. 127

```
data_HfMg2Bi2
_chemical_formula_sum 'Hf2 Mg4 Bi4'
_cell_length_a 3.8192
_cell_length_b 7.9522
_cell_length_c 7.9522
_cell_angle_alpha 90.00
_cell_angle_beta 90.00
_cell_angle_gamma 90.00
_symmetry_space_group_name_H-M 'P 1'
_symmetry_Int_Tables_number 1
loop_
_symmetry_equiv_pos_as_xyz
'x,y,z'
loop_
_atom_site_label
_atom_site_type_symbol
_atom_site_fract_x
_atom_site_fract_y
_atom_site_fract_z
Mg1 Mg 0.0000 0.3726 0.8726
Mg2 Mg 0.0000 0.8726 0.6274
Mg3 Mg 0.0000 0.6274 0.1274
Mg4 Mg 0.0000 0.1274 0.3726
Hf1 Hf 0.0000 0.0000 0.0000
Hf2 Hf 0.0000 0.5000 0.5000
Bi1 Bi 0.5000 0.1768 0.6768
Bi2 Bi 0.5000 0.6768 0.8232
Bi3 Bi 0.5000 0.8232 0.3232
Bi4 Bi 0.5000 0.3232 0.1768
```


17.
## Hf2MgBiSb (PBEsol)

Data for a relaxed Hf2MgBiSb crystal.

formation energy (no corrections): 1.257 eV/atom
spin magnetization: 0.01 μB per cell
uncorrected energy: -5.056 eV/atom
symmetry: No. 123

```
data_Hf2MgBiSb
_chemical_formula_sum 'Hf2 Mg1 Bi1 Sb1'
_cell_length_a 5.3658
_cell_length_b 5.3658
_cell_length_c 5.7412
_cell_angle_alpha 90.00
_cell_angle_beta 90.00
_cell_angle_gamma 90.00
_symmetry_space_group_name_H-M 'P 1'
_symmetry_Int_Tables_number 1
loop_
_symmetry_equiv_pos_as_xyz
'x,y,z'
loop_
_atom_site_label
_atom_site_type_symbol
_atom_site_fract_x
_atom_site_fract_y
_atom_site_fract_z
Sb1 Sb 0.0000 0.0000 0.5000
Mg1 Mg 0.5000 0.5000 0.5000
Hf1 Hf 0.0000 0.5000 0.0000
Hf2 Hf 0.5000 0.0000 0.0000
Bi1 Bi 0.0000 0.0000 0.0000
```


18.
## SrHfMg2Bi (PBEsol)

Data for a relaxed SrHfMg2Bi crystal.

ΔE_f: 0.557 eV/atom
spin magnetization: 0.39 μB per cell
uncorrected energy: -3.456 eV/atom
symmetry: No. 123

```
data_SrHfMg2Bi
_chemical_formula_sum 'Sr1 Hf1 Mg2 Bi1'
_cell_length_a 5.5249
_cell_length_b 5.5249
_cell_length_c 5.5607
_cell_angle_alpha 90.00
_cell_angle_beta 90.00
_cell_angle_gamma 90.00
_symmetry_space_group_name_H-M 'P 1'
_symmetry_Int_Tables_number 1
loop_
_symmetry_equiv_pos_as_xyz
'x,y,z'
loop_
_atom_site_label
_atom_site_type_symbol
_atom_site_fract_x
_atom_site_fract_y
_atom_site_fract_z
Sr1 Sr 0.5000 0.5000 0.5000
Mg1 Mg 0.0000 0.5000 0.0000
Mg2 Mg 0.5000 0.0000 0.0000
Hf1 Hf 0.0000 0.0000 0.5000
Bi1 Bi 0.0000 0.0000 0.0000
```


19.
## HfMnBi2 (PBEsol)

Data for a relaxed HfMnBi2 crystal.

ΔE_f: 0.565 eV/atom
spin magnetization: 6.01 μB per cell
uncorrected energy: -6.643 eV/atom
symmetry: No. 122

```
data_HfMnBi2
_chemical_formula_sum 'Hf2 Mn2 Bi4'
_cell_length_a 4.4132
_cell_length_b 4.4132
_cell_length_c 10.6049
_cell_angle_alpha 102.01
_cell_angle_beta 102.01
_cell_angle_gamma 90.00
_symmetry_space_group_name_H-M 'P 1'
_symmetry_Int_Tables_number 1
loop_
_symmetry_equiv_pos_as_xyz
'x,y,z'
loop_
_atom_site_label
_atom_site_type_symbol
_atom_site_fract_x
_atom_site_fract_y
_atom_site_fract_z
Mn1 Mn 0.7500 0.2500 0.5000
Mn2 Mn 0.5000 0.5000 0.0000
Hf1 Hf 0.2500 0.7500 0.5000
Hf2 Hf 0.0000 0.0000 0.0000
Bi1 Bi 0.3816 0.8750 0.2500
Bi2 Bi 0.8684 0.3750 0.2500
Bi3 Bi 0.1250 0.1316 0.7500
Bi4 Bi 0.6250 0.6184 0.7500
```


20.
## NaHf2MnBi (PBEsol)

Data for a relaxed NaHf2MnBi crystal.

ΔE_f: 0.578 eV/atom
spin magnetization: 1.12 μB per cell
uncorrected energy: -6.712 eV/atom
symmetry: No. 123

```
data_NaHf2MnBi
_chemical_formula_sum 'Na1 Hf2 Mn1 Bi1'
_cell_length_a 4.7007
_cell_length_b 4.7007
_cell_length_c 5.1992
_cell_angle_alpha 90.00
_cell_angle_beta 90.00
_cell_angle_gamma 90.00
_symmetry_space_group_name_H-M 'P 1'
_symmetry_Int_Tables_number 1
loop_
_symmetry_equiv_pos_as_xyz
'x,y,z'
loop_
_atom_site_label
_atom_site_type_symbol
_atom_site_fract_x
_atom_site_fract_y
_atom_site_fract_z
Na1 Na 0.0000 0.0000 0.5000
Mn1 Mn 0.0000 0.0000 0.0000
Hf1 Hf 0.0000 0.5000 0.0000
Hf2 Hf 0.5000 0.0000 0.0000
Bi1 Bi 0.5000 0.5000 0.5000
```